This record from the Alexandria database describes an optimized crystal structure of HfCdSeN2. The functional is PBE-GGA.

Cell lengths 4.1132, 4.1132, 5.1038 Å; angles 90.00, 90.00, 90.00 degrees
Atoms (fractional coordinates):
Se  0.0000  0.0000  0.5000
Cd  0.0000  0.0000  0.0000
N  0.5000  0.0000  0.0000
N  0.0000  0.5000  0.0000
Hf  0.5000  0.5000  0.5000

The density of states at the Fermi level is 2.31 states/eV per cell. The calculated density is 7.65 g cm⁻³. For the polymorph energy (0 for the lowest one), the calculation gives 1304 meV per atom. For the calculated total energy, the calculation gives -4.803 eV per atom. As for the crystal system: tetragonal. The energy relative to the elements, uncorrected is 6.99 eV/f.u.